## A
First-principles (PBE-GGA) data for a relaxed BaCaTa2 crystal, as listed in Alexandria.

Results
- mass density (g/cm3) = 7.7
- total moment (μB per atom) = 0.000

Lattice parameters (Å, degrees): 11.305 3.096 6.628 90.00 93.37 90.00
Space group C2/m (No. 12)
One atom of each set of equivalent atoms:
1 Ba 0.000 0.000 0.000 (multiplicity 2)
2 Ca 0.000 0.500 0.500 (multiplicity 2)
3 Ta 0.243 0.000 0.668 (multiplicity 4)

## B
First-principles (PBE-GGA) data for a relaxed BaCaTa2 crystal, as listed in Alexandria.

Results
- mass density (g/cm3) = 7.3
- total moment (μB per atom) = 0.000

Lattice parameters (Å, degrees): 3.628 3.628 9.360 90.00 90.00 90.00
Space group P4mm (No. 99)
One atom of each set of equivalent atoms:
1 Ba 0.000 0.000 0.000 (multiplicity 1)
2 Ca 0.500 0.500 0.383 (multiplicity 1)
3 Ta 0.000 0.000 0.618 (multiplicity 1)
4 Ta 0.500 0.500 0.726 (multiplicity 1)

Most stable structure - B; separation to the second - 0.475 eV/atom.

## A
First-principles (PBE-GGA) data for a relaxed BaCa2Tc crystal, as listed in Alexandria.

Results
- mass density (g/cm3) = 3.0
- total moment (μB per atom) = 0.000

Lattice parameters (Å, degrees): 7.890 7.890 11.397 90.00 90.00 90.00
Space group I4_1/amd (No. 141, origin choice 2)
One atom of each set of equivalent atoms:
1 Ba 0.000 0.250 0.375 (multiplicity 4)
2 Ca 0.000 0.000 0.000 (multiplicity 8)
3 Tc 0.000 0.250 0.875 (multiplicity 4)

## B
First-principles (PBE-GGA) data for a relaxed BaCa2Tc crystal, as listed in Alexandria.

Results
- mass density (g/cm3) = 4.3
- total moment (μB per atom) = 0.228

Lattice parameters (Å, degrees): 5.071 5.071 9.368 90.00 90.00 90.00
Space group I4/mmm (No. 139)
One atom of each set of equivalent atoms:
1 Ba 0.000 0.000 0.000 (multiplicity 2)
2 Ca 0.000 0.500 0.250 (multiplicity 4)
3 Tc 0.000 0.000 0.500 (multiplicity 2)

Most stable structure - B; separation to the second - 0.255 eV/atom.

## A
First-principles (PBE-GGA) data for a relaxed BaCa3Te crystal, as listed in Alexandria.

Results
- mass density (g/cm3) = 2.6
- total moment (μB per atom) = 0.800

Lattice parameters (Å, degrees): 6.232 6.232 6.232 90.00 90.00 90.00
Space group Pm-3m (No. 221)
One atom of each set of equivalent atoms:
1 Ba 0.000 0.000 0.000 (multiplicity 1)
2 Ca 0.000 0.000 0.500 (multiplicity 3)
3 Te 0.500 0.500 0.500 (multiplicity 1)

## B
First-principles (PBE-GGA) data for a relaxed BaCa3Te crystal, as listed in Alexandria.

Results
- mass density (g/cm3) = 2.7
- total moment (μB per atom) = 0.000

Lattice parameters (Å, degrees): 6.191 6.191 6.191 90.00 90.00 90.00
Space group Pm-3m (No. 221)
One atom of each set of equivalent atoms:
1 Ba 0.000 0.000 0.000 (multiplicity 1)
2 Ca 0.000 0.500 0.500 (multiplicity 3)
3 Te 0.500 0.500 0.500 (multiplicity 1)

Most stable structure - B; separation to the second - 1.179 eV/atom.

## A
First-principles (PBE-GGA) data for a relaxed BaCa2Te2 crystal, as listed in Alexandria.

Results
- mass density (g/cm3) = 4.4
- total moment (μB per atom) = 0.000

Lattice parameters (Å, degrees): 4.844 4.844 15.370 90.00 90.00 90.00
Space group I4/mmm (No. 139)
One atom of each set of equivalent atoms:
1 Ba 0.000 0.000 0.000 (multiplicity 2)
2 Ca 0.000 0.500 0.250 (multiplicity 4)
3 Te 0.000 0.000 0.382 (multiplicity 4)

## B
First-principles (PBE-GGA) data for a relaxed BaCa2Te2 crystal, as listed in Alexandria.

Results
- mass density (g/cm3) = 3.9
- total moment (μB per atom) = 0.000

Lattice parameters (Å, degrees): 5.824 5.824 11.817 90.00 90.00 90.00
Space group I4/mmm (No. 139)
One atom of each set of equivalent atoms:
1 Ba 0.000 0.000 0.000 (multiplicity 2)
2 Ca 0.000 0.000 0.341 (multiplicity 4)
3 Te 0.000 0.500 0.250 (multiplicity 4)

## C
First-principles (PBE-GGA) data for a relaxed BaCa2Te2 crystal, as listed in Alexandria.

Results
- mass density (g/cm3) = 4.5
- total moment (μB per atom) = 0.000

Lattice parameters (Å, degrees): 8.974 8.974 4.325 90.00 90.00 90.00
Space group P4/mbm (No. 127)
One atom of each set of equivalent atoms:
1 Ba 0.000 0.000 0.000 (multiplicity 2)
2 Ca 0.151 0.349 0.500 (multiplicity 4)
3 Te 0.148 0.648 0.000 (multiplicity 4)

Most stable structure - C; separation to the second - 0.032 eV/atom.

## A
First-principles (PBE-GGA) data for a relaxed BaCaTi2 crystal, as listed in Alexandria.

Results
- mass density (g/cm3) = 4.0
- total moment (μB per atom) = 0.000

Lattice parameters (Å, degrees): 7.699 7.699 7.699 90.00 90.00 90.00
Space group Fm-3m (No. 225)
One atom of each set of equivalent atoms:
1 Ba 0.000 0.000 0.000 (multiplicity 4)
2 Ca 0.000 0.000 0.500 (multiplicity 4)
3 Ti 0.250 0.250 0.250 (multiplicity 8)

## B
First-principles (PBE-GGA) data for a relaxed BaCaTi2 crystal, as listed in Alexandria.

Results
- mass density (g/cm3) = 3.7
- total moment (μB per atom) = 0.995

Lattice parameters (Å, degrees): 8.770 8.770 6.384 90.00 90.00 90.00
Space group I-42d (No. 122)
One atom of each set of equivalent atoms:
1 Ba 0.000 0.000 0.000 (multiplicity 4)
2 Ca 0.000 0.000 0.500 (multiplicity 4)
3 Ti 0.243 0.750 0.625 (multiplicity 8)

Most stable structure - A; separation to the second - 0.100 eV/atom.

## A
First-principles (PBE-GGA) data for a relaxed BaCaTi crystal, as listed in Alexandria.

Results
- mass density (g/cm3) = 3.1
- total moment (μB per atom) = 0.065

Lattice parameters (Å, degrees): 4.382 6.864 8.562 78.88 75.33 89.98
Space group P1 (No. 1)
One atom of each set of equivalent atoms:
1 Ba 0.000 0.000 0.000 (multiplicity 1)
2 Ba 0.259 0.880 0.477 (multiplicity 1)
3 Ca 0.570 0.534 0.857 (multiplicity 1)
4 Ca 0.840 0.419 0.310 (multiplicity 1)
5 Ti 0.183 0.325 0.626 (multiplicity 1)
6 Ti 0.660 0.154 0.676 (multiplicity 1)

## B
First-principles (PBE-GGA) data for a relaxed BaCaTi crystal, as listed in Alexandria.

Results
- mass density (g/cm3) = 3.4
- total moment (μB per atom) = 0.440

Lattice parameters (Å, degrees): 3.748 6.664 9.774 70.43 79.00 73.75
Space group P1 (No. 1)
One atom of each set of equivalent atoms:
1 Ba 0.000 0.000 0.000 (multiplicity 1)
2 Ba 0.319 0.566 0.799 (multiplicity 1)
3 Ca 0.344 0.892 0.415 (multiplicity 1)
4 Ca 0.664 0.423 0.245 (multiplicity 1)
5 Ti 0.037 0.389 0.536 (multiplicity 1)
6 Ti 0.630 0.090 0.649 (multiplicity 1)

Most stable structure - B; separation to the second - 0.036 eV/atom.

## A
First-principles (PBE-GGA) data for a relaxed BaCaTl4 crystal, as listed in Alexandria.

Results
- mass density (g/cm3) = 8.3
- total moment (μB per atom) = 0.000

Lattice parameters (Å, degrees): 9.255 9.255 9.255 90.00 90.00 90.00
Space group F-43m (No. 216)
One atom of each set of equivalent atoms:
1 Ba 0.000 0.000 0.000 (multiplicity 4)
2 Ca 0.250 0.250 0.750 (multiplicity 4)
3 Tl 0.125 0.125 0.375 (multiplicity 16)

## B
First-principles (PBE-GGA) data for a relaxed BaCaTl4 crystal, as listed in Alexandria.

Results
- mass density (g/cm3) = 8.0
- total moment (μB per atom) = 0.000

Lattice parameters (Å, degrees): 3.795 5.797 9.428 90.00 90.00 90.00
Space group Pmmm (No. 47)
One atom of each set of equivalent atoms:
1 Ba 0.000 0.000 0.000 (multiplicity 1)
2 Ca 0.500 0.500 0.500 (multiplicity 1)
3 Tl 0.000 0.500 0.204 (multiplicity 2)
4 Tl 0.500 0.000 0.329 (multiplicity 2)

Most stable structure - A; separation to the second - 0.082 eV/atom.

## A
First-principles (PBE-GGA) data for a relaxed BaCa3Tl crystal, as listed in Alexandria.

Results
- mass density (g/cm3) = 3.0
- total moment (μB per atom) = 0.600

Lattice parameters (Å, degrees): 6.335 6.335 6.335 90.00 90.00 90.00
Space group Pm-3m (No. 221)
One atom of each set of equivalent atoms:
1 Ba 0.000 0.000 0.000 (multiplicity 1)
2 Ca 0.000 0.000 0.500 (multiplicity 3)
3 Tl 0.500 0.500 0.500 (multiplicity 1)

## B
First-principles (PBE-GGA) data for a relaxed BaCa3Tl crystal, as listed in Alexandria.

Results
- mass density (g/cm3) = 3.3
- total moment (μB per atom) = 0.000

Lattice parameters (Å, degrees): 6.136 6.136 6.136 90.00 90.00 90.00
Space group Pm-3m (No. 221)
One atom of each set of equivalent atoms:
1 Ba 0.000 0.000 0.000 (multiplicity 1)
2 Ca 0.000 0.500 0.500 (multiplicity 3)
3 Tl 0.500 0.500 0.500 (multiplicity 1)

Most stable structure - B; separation to the second - 0.938 eV/atom.

## A
First-principles (PBE-GGA) data for a relaxed BaCaTl6 crystal, as listed in Alexandria.

Results
- mass density (g/cm3) = 9.2
- total moment (μB per atom) = 0.000

Lattice parameters (Å, degrees): 5.429 7.600 6.151 90.00 90.00 90.00
Space group Pmm2 (No. 25)
One atom of each set of equivalent atoms:
1 Ba 0.000 0.000 0.000 (multiplicity 1)
2 Ca 0.500 0.500 0.318 (multiplicity 1)
3 Tl 0.000 0.273 0.493 (multiplicity 2)
4 Tl 0.000 0.500 0.977 (multiplicity 1)
5 Tl 0.500 0.000 0.406 (multiplicity 1)
6 Tl 0.500 0.276 0.836 (multiplicity 2)

## B
First-principles (PBE-GGA) data for a relaxed BaCaTl6 crystal, as listed in Alexandria.

Results
- mass density (g/cm3) = 9.2
- total moment (μB per atom) = 0.000

Lattice parameters (Å, degrees): 5.496 7.580 12.107 90.00 90.00 90.00
Space group Amm2 (No. 38)
One atom of each set of equivalent atoms:
1 Ba 0.000 0.000 0.000 (multiplicity 2)
2 Ca 0.500 0.000 0.701 (multiplicity 2)
3 Tl 0.000 0.000 0.526 (multiplicity 2)
4 Tl 0.000 0.225 0.263 (multiplicity 4)
5 Tl 0.500 0.000 0.191 (multiplicity 2)
6 Tl 0.500 0.217 0.441 (multiplicity 4)

Most stable structure - A; separation to the second - 0.007 eV/atom.

## A
First-principles (PBE-GGA) data for a relaxed Ba8CaTl2 crystal, as listed in Alexandria.

Results
- mass density (g/cm3) = 4.2
- total moment (μB per atom) = 0.000

Lattice parameters (Å, degrees): 11.082 16.637 6.774 90.00 104.43 90.00
Space group C2/m (No. 12)
One atom of each set of equivalent atoms:
1 Ba 0.000 0.249 0.000 (multiplicity 4)
2 Ba 0.118 0.500 0.793 (multiplicity 4)
3 Ba 0.195 0.132 0.585 (multiplicity 8)
4 Ca 0.000 0.000 0.000 (multiplicity 2)
5 Tl 0.000 0.320 0.500 (multiplicity 4)

## B
First-principles (PBE-GGA) data for a relaxed Ba8CaTl2 crystal, as listed in Alexandria.

Results
- mass density (g/cm3) = 4.5
- total moment (μB per atom) = 0.000

Lattice parameters (Å, degrees): 22.073 6.009 9.194 90.00 110.94 90.00
Space group C2/m (No. 12)
One atom of each set of equivalent atoms:
1 Ba 0.039 0.000 0.260 (multiplicity 4)
2 Ba 0.103 0.500 0.984 (multiplicity 4)
3 Ba 0.178 0.500 0.463 (multiplicity 4)
4 Ba 0.190 0.000 0.800 (multiplicity 4)
5 Ca 0.000 0.500 0.500 (multiplicity 2)
6 Tl 0.187 0.000 0.192 (multiplicity 4)

Most stable structure - B; separation to the second - 0.039 eV/atom.

## A
First-principles (PBE-GGA) data for a relaxed BaCaTl3 crystal, as listed in Alexandria.

Results
- mass density (g/cm3) = 5.3
- total moment (μB per atom) = 0.000

Lattice parameters (Å, degrees): 6.288 6.288 6.288 90.00 90.00 90.00
Space group Pm-3m (No. 221)
One atom of each set of equivalent atoms:
1 Ba 0.000 0.000 0.000 (multiplicity 1)
2 Ca 0.500 0.500 0.500 (multiplicity 1)
3 Tl 0.000 0.000 0.500 (multiplicity 3)

## B
First-principles (PBE-GGA) data for a relaxed BaCaTl3 crystal, as listed in Alexandria.

Results
- mass density (g/cm3) = 6.4
- total moment (μB per atom) = 0.000

Lattice parameters (Å, degrees): 5.890 5.890 5.890 90.00 90.00 90.00
Space group Pm-3m (No. 221)
One atom of each set of equivalent atoms:
1 Ba 0.000 0.000 0.000 (multiplicity 1)
2 Ca 0.500 0.500 0.500 (multiplicity 1)
3 Tl 0.000 0.500 0.500 (multiplicity 3)

Most stable structure - B; separation to the second - 0.488 eV/atom.

## A
First-principles (PBE-GGA) data for a relaxed Ba4CaTl2 crystal, as listed in Alexandria.

Results
- mass density (g/cm3) = 5.0
- total moment (μB per atom) = 0.000

Lattice parameters (Å, degrees): 7.870 8.088 11.162 69.06 88.80 85.41
Space group P1 (No. 1)
One atom of each set of equivalent atoms:
1 Ba 0.000 0.000 0.000 (multiplicity 1)
2 Ba 0.002 0.444 0.582 (multiplicity 1)
3 Ba 0.172 0.961 0.481 (multiplicity 1)
4 Ba 0.443 0.224 0.028 (multiplicity 1)
5 Ba 0.480 0.493 0.659 (multiplicity 1)
6 Ba 0.486 0.723 0.007 (multiplicity 1)
7 Ba 0.742 0.941 0.687 (multiplicity 1)
8 Ba 0.988 0.444 0.183 (multiplicity 1)
9 Ca 0.514 0.329 0.374 (multiplicity 1)
10 Ca 0.668 0.833 0.328 (multiplicity 1)
11 Tl 0.149 0.643 0.828 (multiplicity 1)
12 Tl 0.269 0.705 0.294 (multiplicity 1)
13 Tl 0.306 0.081 0.734 (multiplicity 1)
14 Tl 0.802 0.467 0.888 (multiplicity 1)

## B
First-principles (PBE-GGA) data for a relaxed Ba4CaTl2 crystal, as listed in Alexandria.

Results
- mass density (g/cm3) = 5.3
- total moment (μB per atom) = 0.108

Lattice parameters (Å, degrees): 6.0908 6.0908 29.4562 90.00 90.00 120.00
Space group R-3m (No. 166, hexagonal axes)
One atom of each set of equivalent atoms:
1 Ba 0.0000 0.0000 0.1106 (multiplicity 6)
2 Ba 0.0000 0.0000 0.3676 (multiplicity 6)
3 Ca 0.0000 0.0000 0.5000 (multiplicity 3)
4 Tl 0.0000 0.0000 0.2373 (multiplicity 6)

Most stable structure - B; separation to the second - 0.037 eV/atom.